DFT (PBE) results for a relaxed KCu2Os crystal.

The formation enthalpy at 0 K is 1.52 eV/atom. For the volume, the calculation gives 68.4 Å³/f.u. Its electronic total energy is -3.6146 eV per atom.

The space group is F-43m (No. 216) and the conventional cell measures 6.492, 6.492 and 6.492 Å, with angles of 90.00, 90.00 and 90.00 degrees. The distinct sites, in fractional coordinates, are K at (0.000, 0.000, 0.000), Cu at (0.000, 0.000, 0.500), Cu at (0.250, 0.250, 0.250) and Os at (0.250, 0.250, 0.750).

DFT (PBE) results for a relaxed AgPRh2 crystal.

The formation enthalpy at 0 K is 0.26 eV/atom. For the volume, the calculation gives 59.1 Å³/f.u. Its electronic total energy is -5.4799 eV per atom.

The space group is I-4m2 (No. 119) and the conventional cell measures 3.839, 3.839 and 8.019 Å, with angles of 90.00, 90.00 and 90.00 degrees. The distinct sites, in fractional coordinates, are Ag at (0.000, 0.000, 0.000), P at (0.000, 0.500, 0.750), Rh at (0.000, 0.000, 0.500) and Rh at (0.000, 0.500, 0.250).

DFT (PBE) results for a relaxed Cu2NiW crystal.

The formation enthalpy at 0 K is 0.23 eV/atom. For the volume, the calculation gives 51.3 Å³/f.u. Its electronic total energy is -6.5036 eV per atom.

The space group is P2/m (No. 10) and the conventional cell measures 2.558, 4.272 and 4.755 Å, with angles of 90.00, 99.18 and 90.00 degrees. The distinct sites, in fractional coordinates, are Cu at (0.168, 0.000, 0.259), Ni at (0.000, 0.500, 0.500) and W at (0.500, 0.500, 0.000).

DFT (PBE) results for a relaxed MnSeCl crystal.

For the volume, the calculation gives 50.8 Å³/f.u. Its electronic total energy is -4.7051 eV per atom. The uncorrected formation energy is 0.13 eV/atom.

The space group is F-43m (No. 216) and the conventional cell measures 5.878, 5.878 and 5.878 Å, with angles of 90.00, 90.00 and 90.00 degrees. The distinct sites, in fractional coordinates, are Mn at (0.000, 0.000, 0.000), Se at (0.250, 0.250, 0.750) and Cl at (0.250, 0.250, 0.250).

DFT (PBE) results for a relaxed Li2ZrCo crystal.

The formation enthalpy at 0 K is 0.19 eV/atom. For the volume, the calculation gives 68.1 Å³/f.u. Its electronic total energy is -4.6845 eV per atom.

The space group is Cm (No. 8) and the conventional cell measures 9.039, 2.899 and 5.771 Å, with angles of 90.00, 115.75 and 90.00 degrees. The distinct sites, in fractional coordinates, are Li at (0.000, 0.000, 0.000), Li at (0.214, 0.000, 0.798), Zr at (0.383, 0.000, 0.415) and Co at (0.145, 0.500, 0.398).

DFT (PBE) results for a relaxed CuNi2Mo crystal.

The formation enthalpy at 0 K is 0.09 eV/atom. For the volume, the calculation gives 49.6 Å³/f.u. Its electronic total energy is -6.5295 eV per atom.

The space group is Pmm2 (No. 25) and the conventional cell measures 2.591, 3.774 and 5.075 Å, with angles of 90.00, 90.00 and 90.00 degrees. The distinct sites, in fractional coordinates, are Cu at (0.000, 0.000, 0.000), Ni at (0.000, 0.000, 0.516), Ni at (0.500, 0.500, 0.771) and Mo at (0.500, 0.500, 0.279).

DFT (PBE) results for a relaxed V2FeRh2 crystal.

The formation enthalpy at 0 K is 0.25 eV/atom. For the volume, the calculation gives 76.8 Å³/f.u. Its electronic total energy is -8.0288 eV per atom.

The space group is I4/mmm (No. 139) and the conventional cell measures 3.629, 3.629 and 11.664 Å, with angles of 90.00, 90.00 and 90.00 degrees. The distinct sites, in fractional coordinates, are V at (0.000, 0.500, 0.250), Fe at (0.000, 0.000, 0.000) and Rh at (0.000, 0.000, 0.395).

DFT (PBE) results for a relaxed Li2CaMg4 crystal.

The formation enthalpy at 0 K is -0.03 eV/atom. For the volume, the calculation gives 172.9 Å³/f.u. Its electronic total energy is -1.7691 eV per atom.

The space group is P4_2/mnm (No. 136) and the conventional cell measures 8.598, 8.598 and 4.677 Å, with angles of 90.00, 90.00 and 90.00 degrees. The distinct sites, in fractional coordinates, are Li at (0.219, 0.219, 0.000), Ca at (0.000, 0.000, 0.500) and Mg at (0.098, 0.646, 0.000).

DFT (PBE) results for a relaxed BaCl2F8 crystal.

For the volume, the calculation gives 170.6 Å³/f.u. Its electronic total energy is -3.3456 eV per atom. The uncorrected formation energy is -1.47 eV/atom.

The space group is C2/m (No. 12) and the conventional cell measures 11.836, 6.177 and 4.734 Å, with angles of 90.00, 99.58 and 90.00 degrees. The distinct sites, in fractional coordinates, are Ba at (0.000, 0.000, 0.000), Cl at (0.151, 0.500, 0.572), F at (0.061, 0.500, 0.225), F at (0.133, 0.202, 0.567) and F at (0.243, 0.000, 0.096).

DFT (PBE) results for a relaxed CuGe2Ru crystal.

The formation enthalpy at 0 K is 0.47 eV/atom. For the volume, the calculation gives 84.2 Å³/f.u. Its electronic total energy is -5.1859 eV per atom.

The space group is I-42d (No. 122) and the conventional cell measures 5.683, 5.683 and 10.427 Å, with angles of 90.00, 90.00 and 90.00 degrees. The distinct sites, in fractional coordinates, are Cu at (0.000, 0.000, 0.000), Ge at (0.243, 0.250, 0.625) and Ru at (0.000, 0.000, 0.500).

DFT (PBE) results for a relaxed ZrNpRe crystal.

The formation enthalpy at 0 K is 0.41 eV/atom. For the volume, the calculation gives 69.7 Å³/f.u. Its electronic total energy is -10.9072 eV per atom.

The space group is Pmmn (No. 59, origin choice 2) and the conventional cell measures 4.544, 4.641 and 6.615 Å, with angles of 90.00, 90.00 and 90.00 degrees. The distinct sites, in fractional coordinates, are Zr at (0.250, 0.250, 0.016), Np at (0.250, 0.250, 0.524) and Re at (0.250, 0.750, 0.253).

DFT (PBE) results for a relaxed CeTl2Cl3F3 crystal.

For the volume, the calculation gives 203.1 Å³/f.u. Its electronic total energy is -4.6460 eV per atom. The uncorrected formation energy is -2.22 eV/atom.

The space group is P-62m (No. 189) and the conventional cell measures 7.9614, 7.9614 and 3.7005 Å, with angles of 90.00, 90.00 and 120.00 degrees. The distinct sites, in fractional coordinates, are Ce at (0.0000, 0.0000, 0.0000), Tl at (0.3333, 0.6667, 0.5000), Cl at (0.0000, 0.3629, 0.0000) and F at (0.0000, 0.8134, 0.5000).

DFT (PBE) results for a relaxed Al2AgBr crystal.

For the volume, the calculation gives 82.3 Å³/f.u. Its electronic total energy is -2.8109 eV per atom. The uncorrected formation energy is 0.19 eV/atom.

The space group is C2/m (No. 12) and the conventional cell measures 10.902, 3.204 and 5.350 Å, with angles of 90.00, 118.28 and 90.00 degrees. The distinct sites, in fractional coordinates, are Al at (0.243, 0.000, 0.247), Ag at (0.000, 0.500, 0.000) and Br at (0.000, 0.000, 0.500).

DFT (PBE) results for a relaxed SiCl crystal.

For the volume, the calculation gives 46.9 Å³/f.u. Its electronic total energy is -3.4902 eV per atom. The uncorrected formation energy is 0.14 eV/atom.

The space group is Pm (No. 6) and the conventional cell measures 3.032, 3.073 and 5.229 Å, with angles of 90.00, 105.91 and 90.00 degrees. The distinct sites, in fractional coordinates, are Si at (0.000, 0.000, 0.000) and Cl at (0.166, 0.500, 0.353).

DFT (PBE) results for a relaxed CsHgRuBr6 crystal.

For the volume, the calculation gives 353.0 Å³/f.u. Its electronic total energy is -2.9270 eV per atom. The uncorrected formation energy is -0.65 eV/atom.

The space group is P312 (No. 149) and the conventional cell measures 7.1352, 7.1352 and 8.0063 Å, with angles of 90.00, 90.00 and 120.00 degrees. The distinct sites, in fractional coordinates, are Cs at (0.0000, 0.0000, 0.0000), Hg at (0.6667, 0.3333, 0.5000), Ru at (0.3333, 0.6667, 0.5000) and Br at (0.0393, 0.3850, 0.6817).

DFT (PBE) results for a relaxed CaFe2Rh crystal.

The formation enthalpy at 0 K is 0.11 eV/atom. For the volume, the calculation gives 76.6 Å³/f.u. Its electronic total energy is -6.4579 eV per atom.

The space group is Cm (No. 8) and the conventional cell measures 7.252, 4.188 and 5.597 Å, with angles of 90.00, 115.69 and 90.00 degrees. The distinct sites, in fractional coordinates, are Ca at (0.000, 0.000, 0.000), Fe at (0.012, 0.500, 0.536), Fe at (0.306, 0.500, 0.419) and Rh at (0.192, 0.000, 0.575).

DFT (PBE) results for a relaxed Tl5Cd4Pb2 crystal.

The formation enthalpy at 0 K is 0.08 eV/atom. For the volume, the calculation gives 332.7 Å³/f.u. Its electronic total energy is -2.0075 eV per atom.

The space group is C2/m (No. 12) and the conventional cell measures 23.660, 3.347 and 8.404 Å, with angles of 90.00, 91.36 and 90.00 degrees. The distinct sites, in fractional coordinates, are Tl at (0.000, 0.000, 0.000), Tl at (0.127, 0.500, 0.417), Tl at (0.175, 0.500, 0.021), Cd at (0.000, 0.500, 0.326), Cd at (0.104, 0.000, 0.755) and Pb at (0.232, 0.000, 0.676).

DFT (PBE) results for a relaxed LiWN3 crystal.

For the volume, the calculation gives 61.6 Å³/f.u. Its electronic total energy is -7.7698 eV per atom. The uncorrected formation energy is 0.20 eV/atom.

The space group is Pm-3m (No. 221) and the conventional cell measures 3.949, 3.949 and 3.949 Å, with angles of 90.00, 90.00 and 90.00 degrees. The distinct sites, in fractional coordinates, are Li at (0.000, 0.000, 0.000), W at (0.500, 0.500, 0.500) and N at (0.000, 0.500, 0.500).

DFT (PBE) results for a relaxed AlVZn crystal.

The formation enthalpy at 0 K is -0.06 eV/atom. For the volume, the calculation gives 43.7 Å³/f.u. Its electronic total energy is -4.7679 eV per atom.

The space group is P-6m2 (No. 187) and the conventional cell measures 4.2784, 4.2784 and 2.7573 Å, with angles of 90.00, 90.00 and 120.00 degrees. The distinct sites, in fractional coordinates, are Al at (0.0000, 0.0000, 0.0000), V at (0.6667, 0.3333, 0.5000) and Zn at (0.3333, 0.6667, 0.0000).

DFT (PBE) results for a relaxed CaCrTc2 crystal.

The formation enthalpy at 0 K is 0.32 eV/atom. For the volume, the calculation gives 70.0 Å³/f.u. Its electronic total energy is -7.7698 eV per atom.

The space group is Cm (No. 8) and the conventional cell measures 9.864, 4.433 and 6.417 Å, with angles of 90.00, 94.15 and 90.00 degrees. The distinct sites, in fractional coordinates, are Ca at (0.000, 0.000, 0.000), Ca at (0.159, 0.500, 0.760), Cr at (0.310, 0.000, 0.074), Cr at (0.422, 0.500, 0.518), Tc at (0.163, 0.000, 0.416), Tc at (0.248, 0.500, 0.249), Tc at (0.343, 0.000, 0.700) and Tc at (0.479, 0.000, 0.341).